# 1
# PBEsol ScFeW2, relaxed
# - excess energy over the best structure of this formula in the dataset (meV per atom) = 39.0
# - VASP energy (eV/cell) = -42.44
# - magnetic moment (μB/atom) = 0.34
# - ΔH_f (0 K) (eV per atom) = 0.19
data_ScFeW2
_chemical_formula_sum 'Sc1 Fe1 W2'
_cell_length_a 2.726
_cell_length_b 2.726
_cell_length_c 8.645
_cell_angle_alpha 90.00
_cell_angle_beta 90.00
_cell_angle_gamma 107.73
_symmetry_space_group_name_H-M 'P 1'
_symmetry_Int_Tables_number 1
loop_
_symmetry_equiv_pos_as_xyz
'x,y,z'
loop_
_atom_site_label
_atom_site_fract_x
_atom_site_fract_y
_atom_site_fract_z
Fe1 0.000 0.000 0.511
Sc1 0.500 0.500 0.269
W1 0.000 0.000 0.988
W2 0.500 0.500 0.732

***

# 2
# PBEsol Sc4FeW, relaxed
# - VASP energy (eV/cell) = -44.06
# - magnetic moment (μB/atom) = 0.37
# - ΔH_f (0 K) (eV per atom) = 0.85
data_Sc4FeW
_chemical_formula_sum 'Sc4 Fe1 W1'
_cell_length_a 5.418
_cell_length_b 5.418
_cell_length_c 5.418
_cell_angle_alpha 60.00
_cell_angle_beta 60.00
_cell_angle_gamma 60.00
_symmetry_space_group_name_H-M 'P 1'
_symmetry_Int_Tables_number 1
loop_
_symmetry_equiv_pos_as_xyz
'x,y,z'
loop_
_atom_site_label
_atom_site_fract_x
_atom_site_fract_y
_atom_site_fract_z
Fe1 0.000 0.000 0.000
Sc1 0.375 0.375 0.375
Sc2 0.375 0.375 0.874
Sc3 0.874 0.375 0.375
Sc4 0.375 0.874 0.375
W1 0.750 0.750 0.750

***

# 3
# PBEsol YScFe2, relaxed
# - VASP energy (eV/cell) = -30.75
# - magnetic moment (μB/atom) = 0.42
# - ΔH_f (0 K) (eV per atom) = 0.15
data_YScFe2
_chemical_formula_sum 'Y1 Sc1 Fe2'
_cell_length_a 3.203
_cell_length_b 4.509
_cell_length_c 4.509
_cell_angle_alpha 90.00
_cell_angle_beta 90.00
_cell_angle_gamma 90.00
_symmetry_space_group_name_H-M 'P 1'
_symmetry_Int_Tables_number 1
loop_
_symmetry_equiv_pos_as_xyz
'x,y,z'
loop_
_atom_site_label
_atom_site_fract_x
_atom_site_fract_y
_atom_site_fract_z
Fe1 0.000 0.000 0.500
Fe2 0.000 0.500 0.000
Sc1 0.500 0.500 0.500
Y1 0.500 0.000 0.000

***

# 4
# PBEsol YScFe2, relaxed
# - VASP energy (eV/cell) = -30.88
# - magnetic moment (μB/atom) = 1.05
# - ΔH_f (0 K) (eV per atom) = 0.12
data_YScFe2
_chemical_formula_sum 'Y1 Sc1 Fe2'
_cell_length_a 3.113
_cell_length_b 3.113
_cell_length_c 7.480
_cell_angle_alpha 90.00
_cell_angle_beta 90.00
_cell_angle_gamma 90.00
_symmetry_space_group_name_H-M 'P 1'
_symmetry_Int_Tables_number 1
loop_
_symmetry_equiv_pos_as_xyz
'x,y,z'
loop_
_atom_site_label
_atom_site_fract_x
_atom_site_fract_y
_atom_site_fract_z
Fe1 0.000 0.000 0.059
Fe2 0.500 0.500 0.210
Sc1 0.000 0.000 0.424
Y1 0.500 0.500 0.806

***

# 5
# PBEsol Y2ScFe, relaxed
# - excess energy over the best structure of this formula in the dataset (meV per atom) = 0.0
# - VASP energy (eV/cell) = -27.98
# - magnetic moment (μB/atom) = 0.00
# - ΔH_f (0 K) (eV per atom) = 0.31
data_Y2ScFe
_chemical_formula_sum 'Y2 Sc1 Fe1'
_cell_length_a 4.945
_cell_length_b 4.945
_cell_length_c 4.945
_cell_angle_alpha 60.00
_cell_angle_beta 60.00
_cell_angle_gamma 60.00
_symmetry_space_group_name_H-M 'P 1'
_symmetry_Int_Tables_number 1
loop_
_symmetry_equiv_pos_as_xyz
'x,y,z'
loop_
_atom_site_label
_atom_site_fract_x
_atom_site_fract_y
_atom_site_fract_z
Fe1 0.500 0.500 0.500
Sc1 0.000 0.000 0.000
Y1 0.750 0.750 0.750
Y2 0.250 0.250 0.250

***

# 6
# PBEsol YScFe2, relaxed
# - VASP energy (eV/cell) = -30.13
# - magnetic moment (μB/atom) = 0.99
# - ΔH_f (0 K) (eV per atom) = 0.30
data_YScFe2
_chemical_formula_sum 'Y1 Sc1 Fe2'
_cell_length_a 4.529
_cell_length_b 4.529
_cell_length_c 4.529
_cell_angle_alpha 60.00
_cell_angle_beta 60.00
_cell_angle_gamma 60.00
_symmetry_space_group_name_H-M 'P 1'
_symmetry_Int_Tables_number 1
loop_
_symmetry_equiv_pos_as_xyz
'x,y,z'
loop_
_atom_site_label
_atom_site_fract_x
_atom_site_fract_y
_atom_site_fract_z
Fe1 0.000 0.000 0.000
Fe2 0.750 0.750 0.750
Sc1 0.500 0.500 0.500
Y1 0.250 0.250 0.250

***

# 7
# PBEsol Y2ScFe, relaxed
# - excess energy over the best structure of this formula in the dataset (meV per atom) = 65.6
# - VASP energy (eV/cell) = -27.72
# - magnetic moment (μB/atom) = 0.08
# - ΔH_f (0 K) (eV per atom) = 0.37
data_Y2ScFe
_chemical_formula_sum 'Y2 Sc1 Fe1'
_cell_length_a 4.963
_cell_length_b 4.963
_cell_length_c 4.963
_cell_angle_alpha 60.00
_cell_angle_beta 60.00
_cell_angle_gamma 60.00
_symmetry_space_group_name_H-M 'P 1'
_symmetry_Int_Tables_number 1
loop_
_symmetry_equiv_pos_as_xyz
'x,y,z'
loop_
_atom_site_label
_atom_site_fract_x
_atom_site_fract_y
_atom_site_fract_z
Fe1 0.500 0.500 0.500
Sc1 0.250 0.250 0.250
Y1 0.000 0.000 0.000
Y2 0.750 0.750 0.750

***

# 8
# PBEsol YSc3Fe, relaxed
# - VASP energy (eV/cell) = -35.58
# - magnetic moment (μB/atom) = 0.00
# - ΔH_f (0 K) (eV per atom) = 0.00
data_YSc3Fe
_chemical_formula_sum 'Y1 Sc3 Fe1'
_cell_length_a 4.859
_cell_length_b 4.859
_cell_length_c 4.859
_cell_angle_alpha 90.00
_cell_angle_beta 90.00
_cell_angle_gamma 90.00
_symmetry_space_group_name_H-M 'P 1'
_symmetry_Int_Tables_number 1
loop_
_symmetry_equiv_pos_as_xyz
'x,y,z'
loop_
_atom_site_label
_atom_site_fract_x
_atom_site_fract_y
_atom_site_fract_z
Y1 0.500 0.500 0.500
Sc1 0.000 0.500 0.000
Sc2 0.000 0.000 0.500
Sc3 0.500 0.000 0.000
Fe1 0.000 0.000 0.000

***

# 9
# PBEsol YScZnFe2, relaxed
# - VASP energy (eV/cell) = -28.83
# - magnetic moment (μB/atom) = 0.80
# - ΔH_f (0 K) (eV per atom) = 0.82
data_YScZnFe2
_chemical_formula_sum 'Y1 Sc1 Zn1 Fe2'
_cell_length_a 4.532
_cell_length_b 4.532
_cell_length_c 4.982
_cell_angle_alpha 90.00
_cell_angle_beta 90.00
_cell_angle_gamma 90.00
_symmetry_space_group_name_H-M 'P 1'
_symmetry_Int_Tables_number 1
loop_
_symmetry_equiv_pos_as_xyz
'x,y,z'
loop_
_atom_site_label
_atom_site_fract_x
_atom_site_fract_y
_atom_site_fract_z
Y1 0.000 0.000 0.500
Sc1 0.500 0.500 0.500
Zn1 0.000 0.000 0.000
Fe1 0.000 0.500 0.000
Fe2 0.500 0.000 0.000

***

# 10
# PBEsol YZr2ScFe, relaxed
# - VASP energy (eV/cell) = -40.11
# - magnetic moment (μB/atom) = 0.00
# - ΔH_f (0 K) (eV per atom) = 0.09
data_YZr2ScFe
_chemical_formula_sum 'Y1 Zr2 Sc1 Fe1'
_cell_length_a 4.818
_cell_length_b 4.818
_cell_length_c 4.928
_cell_angle_alpha 90.00
_cell_angle_beta 90.00
_cell_angle_gamma 90.00
_symmetry_space_group_name_H-M 'P 1'
_symmetry_Int_Tables_number 1
loop_
_symmetry_equiv_pos_as_xyz
'x,y,z'
loop_
_atom_site_label
_atom_site_fract_x
_atom_site_fract_y
_atom_site_fract_z
Y1 0.500 0.500 0.500
Sc1 0.000 0.000 0.500
Fe1 0.000 0.000 0.000
Zr1 0.000 0.500 0.000
Zr2 0.500 0.000 0.000

***

# 11
# PBEsol ZrSc4Fe, relaxed
# - VASP energy (eV/cell) = -40.79
# - magnetic moment (μB/atom) = 0.19
# - ΔH_f (0 K) (eV per atom) = 0.61
data_ZrSc4Fe
_chemical_formula_sum 'Zr1 Sc4 Fe1'
_cell_length_a 5.659
_cell_length_b 5.659
_cell_length_c 5.659
_cell_angle_alpha 60.00
_cell_angle_beta 60.00
_cell_angle_gamma 60.00
_symmetry_space_group_name_H-M 'P 1'
_symmetry_Int_Tables_number 1
loop_
_symmetry_equiv_pos_as_xyz
'x,y,z'
loop_
_atom_site_label
_atom_site_fract_x
_atom_site_fract_y
_atom_site_fract_z
Fe1 0.000 0.000 0.000
Sc1 0.375 0.375 0.375
Sc2 0.375 0.375 0.875
Sc3 0.875 0.375 0.375
Sc4 0.375 0.875 0.375
Zr1 0.750 0.750 0.750

***

# 12
# PBEsol ZrSc3Fe, relaxed
# - VASP energy (eV/cell) = -31.77
# - magnetic moment (μB/atom) = 0.53
# - ΔH_f (0 K) (eV per atom) = 1.22
data_ZrSc3Fe
_chemical_formula_sum 'Zr1 Sc3 Fe1'
_cell_length_a 4.954
_cell_length_b 4.954
_cell_length_c 4.954
_cell_angle_alpha 90.00
_cell_angle_beta 90.00
_cell_angle_gamma 90.00
_symmetry_space_group_name_H-M 'P 1'
_symmetry_Int_Tables_number 1
loop_
_symmetry_equiv_pos_as_xyz
'x,y,z'
loop_
_atom_site_label
_atom_site_fract_x
_atom_site_fract_y
_atom_site_fract_z
Sc1 0.000 0.500 0.000
Sc2 0.000 0.000 0.500
Sc3 0.500 0.000 0.000
Fe1 0.500 0.500 0.500
Zr1 0.000 0.000 0.000

***

Q: magnetic moment of number 3 (YScFe2)?
A: 0.42 μB/atom